Below is crystalline CoAg3P at its relaxed geometry, with properties calculated at the PBE-GGA level.

Output
The energy relative to the lowest polymorph listed for this composition comes out at 0 meV/atom. The electronic total energy is -17.0 eV/cell. The magnetic moment is 1.9 μB/f.u. The symmetry is No. 221.

a = 4.678 Å, b = 4.678 Å, c = 4.678 Å
α = 90.00°, β = 90.00°, γ = 90.00°
Sites, in units of the cell vectors:
1 P 0.000 0.000 0.000
2 Co 0.500 0.500 0.500
3 Ag 0.000 0.500 0.000
4 Ag 0.000 0.000 0.500
5 Ag 0.500 0.000 0.000